This record from Alexandria via LeMat-Bulk describes a relaxed structure of Pu4N5. The functional is PBE.

## Properties
Total magnetic moment: 17.000 μB/cell
E above lowest polymorph: 0.000 eV/atom
Raw formation energy: -847 kJ/mol of formula units
Space-group type: I4/m (87)
Calculated volume: 15.84 Å³ per atom

abc: 3.3921 6.7020 6.7020
angles: 86.33 75.34 75.34
With the nearest neighbours (Å) after each atom.
Fractional coordinates of all 9 atoms:
1 Pu 0.7687 0.3099 0.1527  4 N 2.21-2.42
2 Pu 0.9214 0.8473 0.3099  4 N 2.21-2.42
3 Pu 0.0786 0.1527 0.6901  4 N 2.21-2.42
4 Pu 0.2313 0.6901 0.8473  4 N 2.21-2.42
5 N 0.6094 0.6497 0.1316  3 Pu 2.21-2.42
6 N 0.7409 0.8684 0.6497  3 Pu 2.21-2.42
7 N 0.2591 0.1316 0.3503  3 Pu 2.21-2.42
8 N 0.3906 0.3503 0.8684  3 Pu 2.21-2.42
9 N 0.0000 0.0000 0.0000  4 Pu 2.24